No. 1
Density functional theory data (GGA-PBE) for crystalline Y2CuTeO6 at its relaxed geometry.

Output
The density of states at the Fermi level is 0.26 states/eV/atom. Its uncorrected formation energy is -47.76 kcal/mol of atoms. For the total moment, the calculation gives 0.00 μB/cell.

Lattice parameters (Å, degrees): 5.6537 5.6566 5.9519 118.30 90.01 119.93
Positions (direct):
Y 0.0000 0.0000 0.0000
Y 0.4977 0.9959 0.4943
Cu 0.2198 0.4376 0.6545
Te 0.7084 0.4173 0.1255
O 0.0754 0.5049 0.3289
O 0.3344 0.2441 0.8383
O 0.4283 0.2532 0.3290
O 0.5947 0.9293 0.8384
O 0.8220 0.8971 0.3270
O 0.9091 0.5037 0.8386


No. 2
Density functional theory data (GGA-PBE) for crystalline KPaAs2Pt2 at its relaxed geometry.

Output
The density of states at the Fermi level is 0.43 states/eV/atom. The calculation puts the energy of formation from the pure elements at -0.849 eV per atom. For the total moment, the calculation gives 0.00 μB/cell.

Lattice parameters (Å, degrees): 4.2809 4.2809 9.0511 90.00 90.00 120.00
Positions (direct):
K 0.0000 0.0000 0.0000
Pa 0.0000 0.0000 0.5000
As 0.3333 0.6667 0.7342
As 0.6667 0.3333 0.2658
Pt 0.3333 0.6667 0.3206
Pt 0.6667 0.3333 0.6794


No. 3
Density functional theory data (GGA-PBE) for crystalline LaYGa2Au2 at its relaxed geometry.

Output
The density of states at the Fermi level is 0.74 states/eV/atom. The calculation puts the energy of formation from the pure elements at -0.802 eV per atom. For the total moment, the calculation gives 0.00 μB/cell.

Lattice parameters (Å, degrees): 4.5828 4.5828 7.4733 90.00 90.00 120.00
Positions (direct):
La 0.0000 0.0000 0.0000
Y 0.0000 0.0000 0.5000
Ga 0.3333 0.6667 0.7249
Ga 0.6667 0.3333 0.2751
Au 0.3333 0.6667 0.2783
Au 0.6667 0.3333 0.7217


No. 4
Density functional theory data (GGA-PBE) for crystalline Tl5Ni2Cl12 at its relaxed geometry.

Output
The density of states at the Fermi level is 0.29 states/eV/atom. Its uncorrected formation energy is -16.93 kcal/mol of atoms. For the total moment, the calculation gives 2.94 μB/cell.

Lattice parameters (Å, degrees): 9.4795 9.4795 8.9453 116.33 116.33 46.81
Positions (direct):
Tl 0.0000 0.0000 0.0000
Tl 0.2797 0.2797 0.0457
Tl 0.2938 0.2938 0.5684
Tl 0.7062 0.7062 0.4316
Tl 0.7203 0.7203 0.9543
Ni 0.2559 0.7441 0.5000
Ni 0.7441 0.2559 0.5000
Cl 0.0019 0.0019 0.3239
Cl 0.0992 0.6039 0.3575
Cl 0.1111 0.6421 0.8900
Cl 0.3579 0.8889 0.1100
Cl 0.3961 0.9008 0.6425
Cl 0.4998 0.4998 0.3241
Cl 0.5002 0.5002 0.6759
Cl 0.6039 0.0992 0.3575
Cl 0.6421 0.1111 0.8900
Cl 0.8889 0.3579 0.1100
Cl 0.9008 0.3961 0.6425
Cl 0.9981 0.9981 0.6761


No. 5
Density functional theory data (GGA-PBE) for crystalline Ac2Nd5Ru4 at its relaxed geometry.

Output
The density of states at the Fermi level is 0.81 states/eV/atom. The calculation puts the energy of formation from the pure elements at 0.021 eV per atom. For the total moment, the calculation gives 0.00 μB/cell.

Lattice parameters (Å, degrees): 7.2721 7.2721 9.5760 122.29 122.29 56.03
Positions (direct):
Ac 0.2239 0.2239 0.1176
Ac 0.7761 0.7761 0.8824
Nd 0.1653 0.6822 0.5969
Nd 0.3178 0.8347 0.4031
Nd 0.5000 0.5000 0.0000
Nd 0.6822 0.1653 0.5969
Nd 0.8347 0.3178 0.4031
Ru 0.1609 0.1609 0.7863
Ru 0.2890 0.2890 0.6666
Ru 0.7110 0.7110 0.3334
Ru 0.8391 0.8391 0.2137


No. 6
Density functional theory data (GGA-PBE) for crystalline Rb4Dy3InS8 at its relaxed geometry.

Output
Its uncorrected formation energy is -36.59 kcal/mol of atoms. For the total moment, the calculation gives 0.00 μB/cell.

Lattice parameters (Å, degrees): 9.0056 9.0056 9.0056 53.53 53.53 53.53
Positions (direct):
Rb 0.0000 0.0000 0.0000
Rb 0.0000 0.5000 0.5000
Rb 0.5000 0.0000 0.5000
Rb 0.5000 0.5000 0.0000
Dy 0.0000 0.0000 0.5000
Dy 0.0000 0.5000 0.0000
Dy 0.5000 0.0000 0.0000
In 0.5000 0.5000 0.5000
S 0.2307 0.2307 0.2307
S 0.2351 0.7280 0.7280
S 0.2720 0.2720 0.7649
S 0.2720 0.7649 0.2720
S 0.7280 0.2351 0.7280
S 0.7280 0.7280 0.2351
S 0.7649 0.2720 0.2720
S 0.7693 0.7693 0.7693


No. 7
Density functional theory data (GGA-PBE) for crystalline Tb8Sn2Ir3 at its relaxed geometry.

Output
The density of states at the Fermi level is 0.64 states/eV/atom. The calculation puts the energy of formation from the pure elements at -0.639 eV per atom. For the total moment, the calculation gives 0.00 μB/cell.

Lattice parameters (Å, degrees): 8.9419 8.9419 4.9014 90.00 90.00 113.10
Positions (direct):
Tb 0.1094 0.8906 0.0000
Tb 0.1424 0.3659 0.5000
Tb 0.3659 0.1424 0.5000
Tb 0.3862 0.6138 0.0000
Tb 0.6138 0.3862 0.0000
Tb 0.6341 0.8576 0.5000
Tb 0.8576 0.6341 0.5000
Tb 0.8906 0.1094 0.0000
Sn 0.2436 0.7564 0.5000
Sn 0.7564 0.2436 0.5000
Ir 0.2497 0.2497 0.0000
Ir 0.5000 0.5000 0.5000
Ir 0.7503 0.7503 0.0000


No. 8
Density functional theory data (GGA-PBE) for crystalline ZrIn3Se at its relaxed geometry.

Output
The density of states at the Fermi level is 1.62 states/eV/atom. Its uncorrected formation energy is 15.81 kcal/mol of atoms. The value obtained for the energy above the lowest structure with this stoichiometry is 0.0098 eV per atom. For the total moment, the calculation gives 0.00 μB/cell.

Lattice parameters (Å, degrees): 5.6769 5.6769 5.6769 90.00 90.00 90.00
Positions (direct):
Zr 0.0000 0.0000 0.0000
In 0.0000 0.0000 0.5000
In 0.0000 0.5000 0.0000
In 0.5000 0.0000 0.0000
Se 0.5000 0.5000 0.5000


No. 9
Density functional theory data (GGA-PBE) for crystalline ZnPt2Rh at its relaxed geometry.

Output
The density of states at the Fermi level is 1.26 states/eV/atom. The calculation puts the energy of formation from the pure elements at -0.256 eV per atom. For the total moment, the calculation gives 1.09 μB/cell.

Lattice parameters (Å, degrees): 3.9172 3.9172 7.7559 90.00 90.00 90.00
Positions (direct):
Zn 0.0000 0.0000 0.0000
Zn 0.5000 0.5000 0.5000
Pt 0.0000 0.5000 0.2500
Pt 0.0000 0.5000 0.7500
Pt 0.5000 0.0000 0.2500
Pt 0.5000 0.0000 0.7500
Rh 0.0000 0.0000 0.5000
Rh 0.5000 0.5000 0.0000


No. 10
Density functional theory data (GGA-PBE) for crystalline K3Pt2 at its relaxed geometry.

Output
The density of states at the Fermi level is 0.39 states/eV/atom. The value obtained for the energy above the lowest structure with this stoichiometry is 0.0000 eV per atom. The calculation puts the energy of formation from the pure elements at 0.011 eV per atom. For the total moment, the calculation gives 0.00 μB/cell.

Lattice parameters (Å, degrees): 11.8914 6.5980 13.2068 63.94 29.90 86.16
Positions (direct):
K 0.0000 0.0000 0.0000
K 0.2103 0.7031 0.5727
K 0.2500 0.2500 0.2500
K 0.6773 0.7361 0.0397
K 0.7031 0.2103 0.5139
K 0.7361 0.6773 0.5469
Pt 0.2284 0.6555 0.8083
Pt 0.4417 0.9422 0.0216
Pt 0.6555 0.2284 0.3078
Pt 0.9422 0.4417 0.5945


No. 11
Density functional theory data (GGA-PBE) for crystalline AlInSn at its relaxed geometry.

Output
The density of states at the Fermi level is 0.48 states/eV/atom. The calculation puts the energy of formation from the pure elements at 0.185 eV per atom. For the total moment, the calculation gives 0.00 μB/cell.

Lattice parameters (Å, degrees): 4.1977 4.1977 5.1007 90.00 90.00 120.00
Positions (direct):
Al 0.0000 0.0000 0.0000
In 0.3333 0.6667 0.6678
Sn 0.6667 0.3333 0.2759


No. 12
Density functional theory data (GGA-PBE) for crystalline InHg2Pb8 at its relaxed geometry.

Output
The density of states at the Fermi level is 0.33 states/eV/atom. The value obtained for the energy above the lowest structure with this stoichiometry is 0.0270 eV per atom. The calculation puts the energy of formation from the pure elements at 0.064 eV per atom. For the total moment, the calculation gives 0.00 μB/cell.

Lattice parameters (Å, degrees): 8.9656 8.9656 6.2498 102.94 102.94 44.10
Positions (direct):
In 0.0000 0.0000 0.0000
Hg 0.3210 0.3210 0.4163
Hg 0.6790 0.6790 0.5837
Pb 0.0805 0.5795 0.8761
Pb 0.1056 0.1056 0.5790
Pb 0.4205 0.9195 0.1239
Pb 0.4903 0.4903 0.2435
Pb 0.5097 0.5097 0.7565
Pb 0.5795 0.0805 0.8761
Pb 0.8944 0.8944 0.4210
Pb 0.9195 0.4205 0.1239


No. 13
Density functional theory data (GGA-PBE) for crystalline RbO4 at its relaxed geometry.

Output
The density of states at the Fermi level is 0.90 states/eV/atom. Its uncorrected formation energy is 36.34 kcal/mol of atoms. The value obtained for the energy above the lowest structure with this stoichiometry is 2.1041 eV per atom. For the total moment, the calculation gives 7.00 μB/cell.

Lattice parameters (Å, degrees): 5.0482 5.0482 5.0482 90.00 90.00 90.00
Positions (direct):
Rb 0.0000 0.0000 0.0000
O 0.0000 0.0000 0.5000
O 0.0000 0.5000 0.0000
O 0.5000 0.0000 0.0000
O 0.5000 0.5000 0.5000


No. 14
Density functional theory data (GGA-PBE) for crystalline CrNiP2 at its relaxed geometry.

Output
The density of states at the Fermi level is 0.46 states/eV/atom. The calculation puts the energy of formation from the pure elements at -0.177 eV per atom. For the total moment, the calculation gives 0.64 μB/cell.

Lattice parameters (Å, degrees): 2.8057 2.8057 21.1267 90.00 90.00 120.00
Positions (direct):
Cr 0.0000 0.0000 0.0000
Cr 0.3333 0.6667 0.6667
Cr 0.6667 0.3333 0.3333
Ni 0.0000 0.0000 0.5000
Ni 0.3333 0.6667 0.1667
Ni 0.6667 0.3333 0.8333
P 0.0000 0.0000 0.2527
P 0.0000 0.0000 0.7473
P 0.3333 0.6667 0.4140
P 0.3333 0.6667 0.9193
P 0.6667 0.3333 0.0807
P 0.6667 0.3333 0.5860


No. 15
Density functional theory data (GGA-PBE) for crystalline Sr7Sn2Pb2 at its relaxed geometry.

Output
The density of states at the Fermi level is 0.71 states/eV/atom. The calculation puts the energy of formation from the pure elements at -0.397 eV per atom. For the total moment, the calculation gives 0.00 μB/cell.

Lattice parameters (Å, degrees): 7.7105 7.7105 8.3216 90.00 90.00 106.27
Positions (direct):
Sr 0.0000 0.0000 0.0000
Sr 0.0000 0.5000 0.2715
Sr 0.0000 0.5000 0.7285
Sr 0.5000 0.0000 0.2715
Sr 0.5000 0.0000 0.7285
Sr 0.5000 0.5000 0.2488
Sr 0.5000 0.5000 0.7512
Sn 0.2864 0.7136 0.0000
Sn 0.7136 0.2864 0.0000
Pb 0.1855 0.1855 0.5000
Pb 0.8145 0.8145 0.5000


No. 16
Density functional theory data (GGA-PBE) for crystalline Tb3Dy6ZrSc2 at its relaxed geometry.

Output
The density of states at the Fermi level is 1.32 states/eV/atom. The calculation puts the energy of formation from the pure elements at 0.054 eV per atom. For the total moment, the calculation gives 0.00 μB/cell.

Lattice parameters (Å, degrees): 6.0061 6.0061 11.4634 95.00 95.00 119.92
Positions (direct):
Tb 0.0000 0.0000 0.0000
Tb 0.3334 0.6666 0.0000
Tb 0.6666 0.3334 0.0000
Dy 0.0905 0.4204 0.2612
Dy 0.2500 0.2500 0.7382
Dy 0.4204 0.0905 0.2612
Dy 0.5796 0.9095 0.7388
Dy 0.7500 0.7500 0.2618
Dy 0.9095 0.5796 0.7388
Zr 0.5000 0.5000 0.5000
Sc 0.1669 0.8331 0.5000
Sc 0.8331 0.1669 0.5000


No. 17
Density functional theory data (GGA-PBE) for crystalline KPBr3 at its relaxed geometry.

Output
The density of states at the Fermi level is 0.11 states/eV/atom. Its uncorrected formation energy is -15.93 kcal/mol of atoms. The value obtained for the energy above the lowest structure with this stoichiometry is 0.1560 eV per atom. For the total moment, the calculation gives 0.00 μB/cell.

Lattice parameters (Å, degrees): 5.2945 5.2945 5.2945 90.00 90.00 90.00
Positions (direct):
K 0.0000 0.0000 0.0000
P 0.5000 0.5000 0.5000
Br 0.0000 0.5000 0.5000
Br 0.5000 0.0000 0.5000
Br 0.5000 0.5000 0.0000


No. 18
Density functional theory data (GGA-PBE) for crystalline LiTiAg2 at its relaxed geometry.

Output
The density of states at the Fermi level is 0.95 states/eV/atom. The value obtained for the energy above the lowest structure with this stoichiometry is 0.3649 eV per atom. The calculation puts the energy of formation from the pure elements at 0.341 eV per atom. For the total moment, the calculation gives 7.47 μB/cell.

Lattice parameters (Å, degrees): 7.2023 7.2023 5.5796 90.00 90.00 90.00
Positions (direct):
Li 0.0000 0.0000 0.0000
Li 0.0000 0.5000 0.2500
Li 0.5000 0.0000 0.7500
Li 0.5000 0.5000 0.5000
Ti 0.0000 0.0000 0.5000
Ti 0.0000 0.5000 0.7500
Ti 0.5000 0.0000 0.2500
Ti 0.5000 0.5000 0.0000
Ag 0.2233 0.2500 0.1250
Ag 0.2500 0.7233 0.3750
Ag 0.2500 0.7767 0.8750
Ag 0.2767 0.2500 0.6250
Ag 0.7233 0.7500 0.6250
Ag 0.7500 0.2233 0.8750
Ag 0.7500 0.2767 0.3750
Ag 0.7767 0.7500 0.1250


No. 19
Density functional theory data (GGA-PBE) for crystalline GdPuRh4 at its relaxed geometry.

Output
The density of states at the Fermi level is 2.28 states/eV/atom. The calculation puts the energy of formation from the pure elements at -0.589 eV per atom. For the total moment, the calculation gives 11.97 μB/cell.

Lattice parameters (Å, degrees): 5.3497 5.3497 5.3497 60.00 60.00 60.00
Positions (direct):
Gd 0.0000 0.0000 0.0000
Pu 0.2500 0.2500 0.2500
Rh 0.1256 0.6248 0.6248
Rh 0.6248 0.1256 0.6248
Rh 0.6248 0.6248 0.1256
Rh 0.6248 0.6248 0.6248


No. 20
Density functional theory data (GGA-PBE) for crystalline ZrPW2 at its relaxed geometry.

Output
The density of states at the Fermi level is 0.72 states/eV/atom. The calculation puts the energy of formation from the pure elements at 0.079 eV per atom. For the total moment, the calculation gives 0.00 μB/cell.

Lattice parameters (Å, degrees): 2.8934 4.7253 4.9450 90.00 90.23 90.00
Positions (direct):
Zr 0.0000 0.0000 0.0000
P 0.5000 0.0000 0.5000
W 0.3561 0.5000 0.2549
W 0.6439 0.5000 0.7451